Record 1
Zr3TlF (PBE, optimized geometry); formation energy (no corrections) = -0.553 eV per atom; DFT total energy = -6.529 eV/atom; space-group type = Pm-3m
1.0
4.6056 0.0000 0.0000
0.0000 4.6056 0.0000
0.0000 0.0000 4.6056
F Tl Zr
1 1 3
direct
0.0000 0.0000 0.0000 F
0.5000 0.5000 0.5000 Tl
0.5000 0.0000 0.0000 Zr
0.0000 0.0000 0.5000 Zr
0.0000 0.5000 0.0000 Zr

---

Record 2
Zr2Tl2F (PBE, optimized geometry); formation energy (no corrections) = -0.777 eV per atom; DFT total energy = -5.517 eV/atom; space-group type = P4/mbm
1.0
6.3323 0.0000 0.0000
0.0000 6.3323 0.0000
0.0000 0.0000 5.2646
Zr Tl F
4 4 2
direct
0.8347 0.6653 0.0000 Zr
0.6653 0.1653 0.0000 Zr
0.3347 0.8347 0.0000 Zr
0.1653 0.3347 0.0000 Zr
0.6724 0.8276 0.5000 Tl
0.8276 0.3276 0.5000 Tl
0.3276 0.1724 0.5000 Tl
0.1724 0.6724 0.5000 Tl
0.0000 0.0000 0.0000 F
0.5000 0.5000 0.0000 F

---

Record 3
ZrTl3F (PBE, optimized geometry); formation energy (no corrections) = 0.236 eV per atom; DFT total energy = -3.267 eV/atom; space-group type = Pm-3m
1.0
5.7940 0.0000 0.0000
0.0000 5.7940 0.0000
0.0000 0.0000 5.7940
Tl Zr F
3 1 1
direct
0.5000 0.0000 0.0000 Tl
0.0000 0.0000 0.5000 Tl
0.0000 0.5000 0.0000 Tl
0.0000 0.0000 0.0000 Zr
0.5000 0.5000 0.5000 F

---

Record 4
TmF3 (PBE, optimized geometry); formation energy (no corrections) = -4.129 eV per atom; DFT total energy = -6.651 eV/atom; space-group type = Cmcm
1.0
-1.7043 -3.0729 0.3749
1.4967 1.6463 3.6432
-5.8790 3.3695 0.8926
Tm F
2 6
direct
0.2548 0.5097 0.2500 Tm
0.7452 0.4903 0.7500 Tm
0.1567 0.3134 0.9347 F
0.8433 0.6866 0.4347 F
0.1567 0.3134 0.5653 F
0.5525 0.1049 0.2500 F
0.4475 0.8951 0.7500 F
0.8433 0.6866 0.0653 F

---

Record 5
TmF4 (PBE, optimized geometry); formation energy (no corrections) = -3.130 eV per atom; DFT total energy = -5.522 eV/atom; space-group type = Pm-3m
1.0
4.2983 0.0000 0.0000
0.0000 4.2983 0.0000
0.0000 0.0000 4.2983
F Tm
4 1
direct
0.5000 0.0000 0.5000 F
0.0000 0.0000 0.0000 F
0.5000 0.5000 0.0000 F
0.0000 0.5000 0.5000 F
0.5000 0.5000 0.5000 Tm

---

Record 6
Tm2F5 (PBE, optimized geometry); formation energy (no corrections) = -3.709 eV per atom; DFT total energy = -6.323 eV/atom; space-group type = C2/c
1.0
4.8483 0.0000 0.0000
0.0000 6.5101 -0.0514
-2.4242 -1.0852 5.9740
F Tm
10 4
direct
0.5731 0.2500 0.0000 F
0.1783 0.4091 0.1566 F
0.2242 0.6412 0.5758 F
0.8217 0.5909 0.8434 F
0.7758 0.3588 0.4242 F
0.6484 0.8588 0.4242 F
0.4269 0.7500 0.0000 F
0.0217 0.0909 0.8434 F
0.3516 0.1412 0.5758 F
0.9783 0.9091 0.1566 F
0.6112 0.8938 0.7787 Tm
0.1674 0.3938 0.7787 Tm
0.3888 0.1062 0.2213 Tm
0.8326 0.6062 0.2213 Tm

---

Record 7
TmF3 (PBE, optimized geometry); formation energy (no corrections) = -3.806 eV per atom; DFT total energy = -6.327 eV/atom; space-group type = I4/mmm
1.0
-4.0140 0.0465 -0.7113
-1.2661 -3.4004 1.8589
2.2733 2.9918 1.5817
Tm F
1 3
direct
0.0000 0.0000 0.0000 Tm
0.2500 0.7500 0.5000 F
0.7500 0.2500 0.5000 F
0.5000 0.5000 0.0000 F

---

Record 8
TmF3 (PBE, optimized geometry); formation energy (no corrections) = -4.026 eV per atom; DFT total energy = -6.547 eV/atom; space-group type = Imm2
1.0
3.3888 0.0000 0.0000
0.0000 4.7224 0.0000
-1.6944 -2.3612 3.1635
F Tm
3 1
direct
0.5000 0.3522 0.0000 F
0.6977 0.0655 0.3954 F
0.3023 0.6702 0.6046 F
0.0000 0.0787 0.0000 Tm

---

Record 9
TmF3 (PBE, optimized geometry); formation energy (no corrections) = -3.788 eV per atom; DFT total energy = -6.309 eV/atom; space-group type = Fm-3m
1.0
-1.9814 0.7394 3.2622
-0.8685 -2.8950 2.4452
1.7787 -0.2307 3.4493
F Tm
3 1
direct
0.2500 0.2500 0.2500 F
0.5000 0.5000 0.5000 F
0.0000 0.0000 0.0000 F
0.7500 0.7500 0.7500 Tm

---

Record 10
Tm2UF11 (PBE, optimized geometry); formation energy (no corrections) = -3.845 eV per atom; DFT total energy = -6.761 eV/atom; space-group type = Ibam
1.0
-5.7271 2.8127 4.7260
-4.5341 -5.5968 4.5064
1.9094 1.3786 8.1636
Tm U F
4 2 22
direct
0.8669 0.1821 0.8179 Tm
0.1331 0.8179 0.1821 Tm
0.6331 0.6821 0.3179 Tm
0.3669 0.3179 0.6821 Tm
0.7500 0.7500 0.7500 U
0.2500 0.2500 0.2500 U
0.3411 0.3040 0.4276 F
0.7520 0.6689 0.0256 F
0.7480 0.4744 0.8311 F
0.8411 0.9276 0.8040 F
0.3717 0.7267 0.2733 F
0.4465 0.9744 0.3311 F
0.9465 0.8311 0.4744 F
0.6589 0.6960 0.5724 F
0.6283 0.2733 0.7267 F
0.5727 0.1960 0.0724 F
0.8717 0.7733 0.2267 F
0.4273 0.8040 0.9276 F
0.5000 0.5000 0.5000 F
0.0727 0.5724 0.6960 F
0.9273 0.4276 0.3040 F
0.2520 0.5256 0.1689 F
0.5535 0.0256 0.6689 F
0.1283 0.2267 0.7733 F
0.0535 0.1689 0.5256 F
0.1589 0.0724 0.1960 F
0.0000 0.0000 0.0000 F
0.2480 0.3311 0.9744 F

---

Record 11
TmU2F11 (PBE, optimized geometry); formation energy (no corrections) = -3.755 eV per atom; DFT total energy = -7.158 eV/atom; space-group type = Ibam
1.0
7.4776 0.0000 3.8976
3.4926 7.4871 2.4212
0.2704 -0.1766 8.6030
F U Tm
22 4 2
direct
0.4268 0.7900 0.9322 F
0.6260 0.2887 0.7113 F
0.2672 0.3134 0.9710 F
0.3740 0.7113 0.2887 F
0.9483 0.8134 0.4710 F
0.1490 0.0678 0.2100 F
0.8510 0.9322 0.7900 F
0.6490 0.7100 0.5678 F
0.0000 0.0000 0.0000 F
0.0732 0.5678 0.7100 F
0.5000 0.5000 0.5000 F
0.5732 0.2100 0.0678 F
0.8740 0.7887 0.2113 F
0.3510 0.2900 0.4322 F
0.7328 0.6866 0.0290 F
0.4483 0.9710 0.3134 F
0.7672 0.4710 0.8134 F
0.9268 0.4322 0.2900 F
0.5517 0.0290 0.6866 F
0.0517 0.1866 0.5290 F
0.1260 0.2113 0.7887 F
0.2328 0.5290 0.1866 F
0.3479 0.3168 0.6832 U
0.1521 0.8168 0.1832 U
0.6521 0.6832 0.3168 U
0.8479 0.1832 0.8168 U
0.2500 0.2500 0.2500 Tm
0.7500 0.7500 0.7500 Tm